Entry 1:
# BaAc2LaHg4

BaAc2LaHg4 after structural relaxation (PBE-GGA, the Alexandria database).

Unit cell a=5.7139 b=5.7139 c=9.9397 alpha=73.30 beta=73.30 gamma=60.00
Positions (direct):
Ac1 0.2495 0.2495 0.2514
Ac2 0.7505 0.7505 0.7486
Hg1 0.8713 0.8713 0.3861
Hg2 0.6198 0.6198 0.1407
Hg3 0.3802 0.3802 0.8593
Hg4 0.1287 0.1287 0.6139
Ba1 0.0000 0.0000 0.0000
La1 0.5000 0.5000 0.5000

Output
Final energy, eV/atom: -2.515
Magnetic moment, μB/cell: 0.14
Energy of formation from the pure elements, eV/atom: -0.4805

---

Entry 2:
# V2Cd2In

V2Cd2In after structural relaxation (PBE-GGA, the Alexandria database).

Unit cell a=7.0576 b=7.0576 c=3.9397 alpha=90.00 beta=90.00 gamma=90.00
Positions (direct):
Cd1 0.6915 0.8085 0.5000
Cd2 0.1915 0.6915 0.5000
Cd3 0.8085 0.3085 0.5000
Cd4 0.3085 0.1915 0.5000
V1 0.0960 0.4040 0.0000
V2 0.9040 0.5960 0.0000
V3 0.4040 0.9040 0.0000
V4 0.5960 0.0960 0.0000
In1 0.0000 0.0000 0.0000
In2 0.5000 0.5000 0.0000

Output
Final energy, eV/atom: -4.186
ΔE to the lowest computed polymorph, meV per atom: 0
Magnetic moment, μB/cell: 0.00
Energy of formation from the pure elements, eV/atom: 0.3750

---

Entry 3:
# RbYN3

RbYN3 after structural relaxation (PBE-GGA, the Alexandria database).

Unit cell a=4.6433 b=4.6433 c=4.6433 alpha=90.00 beta=90.00 gamma=90.00
Positions (direct):
Rb1 0.5000 0.5000 0.5000
Y1 0.0000 0.0000 0.0000
N1 0.0000 0.0000 0.5000
N2 0.5000 0.0000 0.0000
N3 0.0000 0.5000 0.0000

Output
Final energy, eV/atom: -5.666
Formation energy from raw total energies, eV/atom: 0.82
Magnetic moment, μB/cell: 5.00

---

Entry 4:
# PmP2Rh5

PmP2Rh5 after structural relaxation (PBE-GGA, the Alexandria database).

Unit cell a=3.9257 b=6.1382 c=6.1382 alpha=67.18 beta=71.35 gamma=71.35
Positions (direct):
Pm1 0.0000 0.0000 0.0000
Rh1 0.6502 0.5508 0.1487
Rh2 0.3498 0.8513 0.4492
Rh3 0.0000 0.5000 0.5000
Rh4 0.3498 0.4492 0.8513
Rh5 0.6502 0.1487 0.5508
P1 0.7579 0.7421 0.7421
P2 0.2421 0.2579 0.2579

Output
Final energy, eV/atom: -7.379
Magnetic moment, μB/cell: 0.00
Energy of formation from the pure elements, eV/atom: -0.8384